# 1
Here is an optimized crystal structure of LaOs3Se from the Alexandria database. Energies are from PBE.

Lattice parameters (Å, degrees): 4.9444 4.9444 4.9444 90.00 90.00 90.00
With the nearest neighbours (Å) after each atom.
Atoms (fractional coordinates):
Se  0.5000  0.5000  0.5000  12 Os 3.50
Os  0.5000  0.0000  0.0000  2 La 2.47
La  0.0000  0.0000  0.0000  6 Os 2.47
Os  0.0000  0.0000  0.5000  2 La 2.47
Os  0.0000  0.5000  0.0000  2 La 2.47

## Properties
The raw formation energy is 2.998 eV per atom. As for the space group: Pm-3m.

# 2
Here is an optimized crystal structure of MgIn5Ga2 from the Alexandria database. Energies are from PBE.

Lattice parameters (Å, degrees): 6.3416 6.3398 6.3412 109.14 109.15 110.14
With the nearest neighbours (Å) after each atom.
Atoms (fractional coordinates):
In  0.7774  0.7778  0.4994  4 Ga 3.17, 2 In 3.17, 2 Mg 3.17
Ga  0.2773  0.7775  0.5000  8 In 3.17
In  0.2783  0.7774  0.0000  4 Ga 3.17, 2 In 3.17, 2 Mg 3.17
In  0.2780  0.2784  0.5006  4 Ga 3.17, 2 Mg 3.17, 2 In 3.17
In  0.7778  0.2781  0.0000  4 Ga 3.17, 2 Mg 3.17, 2 In 3.17
Ga  0.7774  0.2776  0.5000  8 In 3.17
Mg  0.7790  0.7788  0.0000  8 In 3.17
In  0.2777  0.2774  0.0000  8 In 3.17

## Properties
As for the space group: I4mm. The calculation puts the formation energy at 0.219 eV/f.u.

# 3
Here is an optimized crystal structure of Ce4PtRh from the Alexandria database. Energies are from PBE.

Lattice parameters (Å, degrees): 7.0242 7.0243 7.9051 109.51 109.51 104.38
With the nearest neighbours (Å) after each atom.
Atoms (fractional coordinates):
Rh  0.8749  0.1249  0.2498  4 Ce 2.78-2.79
Ce  0.2280  0.9668  0.4671  1 Rh 2.78, 1 Ce 2.88, 2 Pt 2.93-3.07
Ce  0.2609  0.4996  0.5329  1 Rh 2.79, 1 Ce 2.88, 2 Pt 2.93-3.07
Pt  0.3750  0.6250  0.2501  8 Ce 2.93-3.07
Pt  0.6250  0.3750  0.7499  8 Ce 2.93-3.07
Ce  0.4997  0.2611  0.0330  1 Rh 2.78, 1 Ce 2.88, 2 Pt 2.93-3.07
Ce  0.0332  0.7719  0.0330  1 Rh 2.78, 1 Ce 2.88, 2 Pt 2.93-3.07
Ce  0.7391  0.5004  0.4671  1 Rh 2.79, 1 Ce 2.88, 2 Pt 2.93-3.07
Rh  0.1251  0.8751  0.7502  4 Ce 2.78-2.79
Ce  0.5003  0.7389  0.9670  1 Rh 2.78, 1 Ce 2.88, 2 Pt 2.93-3.07
Ce  0.7720  0.0332  0.5329  1 Rh 2.78, 1 Ce 2.88, 2 Pt 2.93-3.07
Ce  0.9668  0.2281  0.9670  1 Rh 2.78, 1 Ce 2.88, 2 Pt 2.93-3.07

## Properties
As for the space group: Fddd. The calculation puts the formation energy at -2.991 eV/f.u.

# 4
Here is an optimized crystal structure of Ba2TaS2 from the Alexandria database. Energies are from PBE.

Lattice parameters (Å, degrees): 8.9726 8.9726 3.7405 90.00 90.00 90.00
With the nearest neighbours (Å) after each atom.
Atoms (fractional coordinates):
Ba  0.8556  0.6444  0.0000  6 S 3.13-3.30, 2 Ta 3.44
S  0.8421  0.3421  0.5000  6 Ba 3.13-3.30
Ba  0.1444  0.3556  0.0000  6 S 3.13-3.30, 2 Ta 3.44
S  0.3421  0.1579  0.5000  6 Ba 3.13-3.30
S  0.1579  0.6579  0.5000  6 Ba 3.13-3.30
Ta  0.5000  0.5000  0.0000  4 Ba 3.44, 2 Ta 3.74
S  0.6579  0.8421  0.5000  6 Ba 3.13-3.30
Ta  0.0000  0.0000  0.0000  4 Ba 3.44, 2 Ta 3.74
Ba  0.3556  0.8556  0.0000  6 S 3.13-3.30, 2 Ta 3.44
Ba  0.6444  0.1444  0.0000  6 S 3.13-3.30, 2 Ta 3.44

## Properties
The raw formation energy is -0.124 eV per atom. As for the space group: P4/mbm.

# 5
Here is an optimized crystal structure of ThCdBr6 from the Alexandria database. Energies are from PBE.

Lattice parameters (Å, degrees): 7.0917 7.0890 7.6808 62.49 62.47 59.99
With the nearest neighbours (Å) after each atom.
Atoms (fractional coordinates):
Br  0.0911  0.4056  0.7522  1 Cd 2.82, 1 Th 2.86
Cd  0.0000  0.0000  0.0000  6 Br 2.82-2.83
Br  0.9089  0.5944  0.2478  1 Cd 2.82, 1 Th 2.86
Th  0.5000  0.5000  0.5000  6 Br 2.86
Br  0.4057  0.7510  0.7521  1 Cd 2.83, 1 Th 2.86
Br  0.5943  0.2490  0.2479  1 Cd 2.83, 1 Th 2.86
Br  0.7509  0.0911  0.7522  1 Cd 2.83, 1 Th 2.86
Br  0.2491  0.9089  0.2478  1 Cd 2.83, 1 Th 2.86

## Properties
The raw formation energy is -1.346 eV per atom. As for the space group: R-3.

# 6
Here is an optimized crystal structure of Ho3SnIr2 from the Alexandria database. Energies are from PBE.

Lattice parameters (Å, degrees): 6.7067 6.9400 8.1586 115.17 114.27 90.00
With the nearest neighbours (Å) after each atom.
Atoms (fractional coordinates):
Ir  0.4265  0.6359  0.2718  1 Sn 2.64, 6 Ho 2.86-2.89
Ho  0.5000  0.7500  0.0000  4 Ir 2.86
Ho  0.7750  0.5250  0.5500  4 Ir 2.86-2.89
Ho  0.2250  0.4750  0.4500  4 Ir 2.86-2.89
Ho  0.7750  0.0250  0.5500  4 Ir 2.86-2.89
Ho  0.2250  0.9750  0.4500  4 Ir 2.86-2.89
Ir  0.5735  0.3641  0.7282  1 Sn 2.64, 6 Ho 2.86-2.89
Sn  0.0000  0.0000  0.0000  2 Ir 2.64
Ho  0.5000  0.2500  0.0000  4 Ir 2.86
Sn  0.0000  0.5000  0.0000  2 Ir 2.64
Ir  0.8453  0.1359  0.2718  1 Sn 2.64, 6 Ho 2.86-2.89
Ir  0.1547  0.8641  0.7282  1 Sn 2.64, 6 Ho 2.86-2.89

## Properties
As for the space group: Ibam. The calculation puts the formation energy at -4.051 eV/f.u.

# 7
Here is an optimized crystal structure of Pm2HoCdO from the Alexandria database. Energies are from PBE.

Lattice parameters (Å, degrees): 4.7378 4.9617 4.9617 90.00 90.00 90.00
With the nearest neighbours (Å) after each atom.
Atoms (fractional coordinates):
O  0.0000  0.0000  0.0000  2 Ho 2.37, 4 Pm 2.48
Pm  0.0000  0.0000  0.5000  2 O 2.48
Cd  0.5000  0.5000  0.5000  8 Pm 3.43, 4 Ho 3.51
Ho  0.5000  0.0000  0.0000  2 O 2.37
Pm  0.0000  0.5000  0.0000  2 O 2.48

## Properties
The raw formation energy is -1.302 eV per atom. As for the space group: P4/mmm.

# 8
Here is an optimized crystal structure of Rb2LaI2O2 from the Alexandria database. Energies are from PBE.

Lattice parameters (Å, degrees): 4.7276 4.7276 10.3056 103.26 103.26 90.00
With the nearest neighbours (Å) after each atom.
Atoms (fractional coordinates):
O  0.5000  0.0000  0.0000  2 La 2.36
La  0.0000  0.0000  0.0000  4 O 2.36
O  0.0000  0.5000  0.0000  2 La 2.36
Rb  0.6108  0.6108  0.2216  4 O 3.20, 4 I 3.57
I  0.8246  0.8246  0.6492  1 La 3.42, 4 Rb 3.57
Rb  0.3892  0.3892  0.7784  4 O 3.20, 4 I 3.57
I  0.1754  0.1754  0.3508  1 La 3.42, 4 Rb 3.57

## Properties
The raw formation energy is -1.779 eV per atom. As for the space group: I4/mmm.

Repeat the sixth record exactly.
Here is an optimized crystal structure of Ho3SnIr2 from the Alexandria database. Energies are from PBE.

Lattice parameters (Å, degrees): 6.7067 6.9400 8.1586 115.17 114.27 90.00
With the nearest neighbours (Å) after each atom.
Atoms (fractional coordinates):
Ir  0.4265  0.6359  0.2718  1 Sn 2.64, 6 Ho 2.86-2.89
Ho  0.5000  0.7500  0.0000  4 Ir 2.86
Ho  0.7750  0.5250  0.5500  4 Ir 2.86-2.89
Ho  0.2250  0.4750  0.4500  4 Ir 2.86-2.89
Ho  0.7750  0.0250  0.5500  4 Ir 2.86-2.89
Ho  0.2250  0.9750  0.4500  4 Ir 2.86-2.89
Ir  0.5735  0.3641  0.7282  1 Sn 2.64, 6 Ho 2.86-2.89
Sn  0.0000  0.0000  0.0000  2 Ir 2.64
Ho  0.5000  0.2500  0.0000  4 Ir 2.86
Sn  0.0000  0.5000  0.0000  2 Ir 2.64
Ir  0.8453  0.1359  0.2718  1 Sn 2.64, 6 Ho 2.86-2.89
Ir  0.1547  0.8641  0.7282  1 Sn 2.64, 6 Ho 2.86-2.89

## Properties
As for the space group: Ibam. The calculation puts the formation energy at -4.051 eV/f.u.

Copy entry 2 word for word.
Here is an optimized crystal structure of MgIn5Ga2 from the Alexandria database. Energies are from PBE.

Lattice parameters (Å, degrees): 6.3416 6.3398 6.3412 109.14 109.15 110.14
With the nearest neighbours (Å) after each atom.
Atoms (fractional coordinates):
In  0.7774  0.7778  0.4994  4 Ga 3.17, 2 In 3.17, 2 Mg 3.17
Ga  0.2773  0.7775  0.5000  8 In 3.17
In  0.2783  0.7774  0.0000  4 Ga 3.17, 2 In 3.17, 2 Mg 3.17
In  0.2780  0.2784  0.5006  4 Ga 3.17, 2 Mg 3.17, 2 In 3.17
In  0.7778  0.2781  0.0000  4 Ga 3.17, 2 Mg 3.17, 2 In 3.17
Ga  0.7774  0.2776  0.5000  8 In 3.17
Mg  0.7790  0.7788  0.0000  8 In 3.17
In  0.2777  0.2774  0.0000  8 In 3.17

## Properties
As for the space group: I4mm. The calculation puts the formation energy at 0.219 eV/f.u.